# 1
A relaxed structure of Sc2BeTl, computed with GGA-PBEsol.

Geometry as POSCAR:
```
Sc2BeTl
1.0
6.749 0.000 0.000
0.000 6.749 0.000
0.000 0.000 6.749
Sc Be Tl
8 4 4
Cartesian
1.687 1.687 1.687
1.687 1.687 5.062
1.687 5.062 1.687
1.687 5.062 5.062
5.062 1.687 1.687
5.062 1.687 5.062
5.062 5.062 1.687
5.062 5.062 5.062
0.000 0.000 0.000
0.000 3.374 3.374
3.374 0.000 3.374
3.374 3.374 0.000
0.000 0.000 3.374
0.000 3.374 0.000
3.374 0.000 0.000
3.374 3.374 3.374
```

Summary:
- Space-group type: Fm-3m, No. 225
- VASP energy: -81.32 eV per cell
- Relative energy among the computed polymorphs: 0.000 eV per formula unit
- Energy relative to the elements: -0.122 eV/atom

=====

# 2
A relaxed structure of ZrBeAg, computed with GGA-PBEsol.

Geometry as POSCAR:
```
ZrBeAg
1.0
6.188 0.000 0.000
0.000 6.188 0.000
0.000 0.000 6.188
Zr Be Ag
4 4 4
Cartesian
0.000 0.000 0.000
0.000 3.094 3.094
3.094 0.000 3.094
3.094 3.094 0.000
1.547 1.547 1.547
1.547 4.641 4.641
4.641 1.547 4.641
4.641 4.641 1.547
1.547 1.547 4.641
1.547 4.641 1.547
4.641 1.547 1.547
4.641 4.641 4.641
```

Summary:
- Space-group type: F-43m, No. 216
- VASP energy: -56.00 eV per cell
- Relative energy among the computed polymorphs: 1.677 eV per formula unit
- Energy relative to the elements: 0.800 eV/atom

=====

# 3
A relaxed structure of LaFeAg2, computed with GGA-PBEsol.

Geometry as POSCAR:
```
LaFeAg2
1.0
4.369 0.000 0.000
0.000 4.369 0.000
0.000 0.000 8.242
La Fe Ag
2 2 4
Cartesian
0.000 0.000 0.000
2.185 2.185 4.121
0.000 2.185 2.060
2.185 0.000 6.181
0.000 0.000 4.121
0.000 2.185 6.181
2.185 0.000 2.060
2.185 2.185 0.000
```

Summary:
- Space-group type: I-4m2, No. 119
- VASP energy: -39.61 eV per cell
- Energy relative to the elements: 0.282 eV/atom

=====

| no. | Fermi-level density of states (states/eV/f.u.) |
| --- | --- |
| 1 | 3.58 |
| 2 | 2.74 |
| 3 | 6.22 |